# 1
Compound: Tl2MoPb
Source: Alexandria via LeMat-Bulk
Functional: PBE
Structure: relaxed

Calculated values
Fermi-level density of states: 3.684 states/eV/f.u.
calculated total energy: -4.2798 eV per atom
distance to the lowest polymorph of the same formula: 0.049 eV/atom
ΔE_f: 0.5382 eV per atom

Unit cell a=3.2108 b=3.2108 c=9.8525 alpha=90.00 beta=90.00 gamma=90.00
Space group P4mm (No. 99)
Symmetry-distinct sites (fractional):
1 Tl 0.0000 0.0000 0.0000
2 Tl 0.5000 0.5000 0.2770
3 Mo 0.0000 0.0000 0.4795
4 Pb 0.5000 0.5000 0.6883

# 2
Compound: Ag3Te
Source: Alexandria via LeMat-Bulk
Functional: PBE
Structure: relaxed

Calculated values
Fermi-level density of states: 0.583 states/eV/f.u.
uncorrected formation energy: 3.3 kJ per mole of atoms
calculated total energy: -2.8895 eV per atom
distance to the lowest polymorph of the same formula: 0.007 eV/atom

Unit cell a=4.3740 b=4.3740 c=17.3760 alpha=90.00 beta=90.00 gamma=90.00
Space group I4/mmm (No. 139)
Symmetry-distinct sites (fractional):
1 Ag 0.0000 0.0000 0.1146
2 Ag 0.0000 0.5000 0.0000
3 Ag 0.0000 0.5000 0.2500
4 Te 0.0000 0.0000 0.3674

# 3
Compound: La7Sm6Dy16
Source: Alexandria via LeMat-Bulk
Functional: PBE
Structure: relaxed

Calculated values
Fermi-level density of states: 48.051 states/eV/f.u.
calculated total energy: -4.4526 eV per atom
ΔE_f: 0.2523 eV per atom

Unit cell a=16.0639 b=16.0639 c=16.0639 alpha=90.00 beta=90.00 gamma=90.00
Space group Fm-3m (No. 225)
Symmetry-distinct sites (fractional):
1 La 0.0000 0.0000 0.0000
2 La 0.0000 0.2500 0.2500
3 Sm 0.0000 0.0000 0.2528
4 Dy 0.1307 0.1307 0.1307
5 Dy 0.1516 0.1516 0.3484